No. 1
# PBE-GGA LuPaCoTc, relaxed
# Energy relative to the elements (meV per atom): -210
# Symmetry: No. 216
# D(E_F) (states/eV/cell): 2.306
data_LuPaCoTc
_chemical_formula_sum 'Lu1 Pa1 Co1 Tc1'
_space_group_name_H-M_alt 'P 1'
_space_group_IT_number 1
_cell_length_a 4.750
_cell_length_b 4.750
_cell_length_c 4.750
_cell_angle_alpha 60.00
_cell_angle_beta 60.00
_cell_angle_gamma 60.00
loop_
_space_group_symop_operation_xyz
'x,y,z'
loop_
_atom_site_label
_atom_site_type_symbol
_atom_site_fract_x
_atom_site_fract_y
_atom_site_fract_z
Lu1 Lu 0.000 0.000 0.000
Tc1 Tc 0.750 0.750 0.750
Pa1 Pa 0.500 0.500 0.500
Co1 Co 0.250 0.250 0.250



No. 2
# PBE-GGA LuCo4Pb, relaxed
# Energy relative to the elements (meV per atom): -24
# Symmetry: No. 216
# D(E_F) (states/eV/cell): 9.648
data_LuCo4Pb
_chemical_formula_sum 'Lu1 Co4 Pb1'
_space_group_name_H-M_alt 'P 1'
_space_group_IT_number 1
_cell_length_a 5.008
_cell_length_b 5.008
_cell_length_c 5.008
_cell_angle_alpha 60.00
_cell_angle_beta 60.00
_cell_angle_gamma 60.00
loop_
_space_group_symop_operation_xyz
'x,y,z'
loop_
_atom_site_label
_atom_site_type_symbol
_atom_site_fract_x
_atom_site_fract_y
_atom_site_fract_z
Co1 Co 0.124 0.625 0.625
Co2 Co 0.625 0.124 0.625
Co3 Co 0.625 0.625 0.124
Pb1 Pb 0.250 0.250 0.250
Lu1 Lu 0.000 0.000 0.000
Co4 Co 0.625 0.625 0.625



No. 3
# PBE-GGA Lu3CoPb, relaxed
# Energy relative to the elements (meV per atom): -248
# Symmetry: No. 221
# D(E_F) (states/eV/cell): 4.311
data_Lu3CoPb
_chemical_formula_sum 'Lu3 Co1 Pb1'
_space_group_name_H-M_alt 'P 1'
_space_group_IT_number 1
_cell_length_a 5.051
_cell_length_b 5.051
_cell_length_c 5.051
_cell_angle_alpha 90.00
_cell_angle_beta 90.00
_cell_angle_gamma 90.00
loop_
_space_group_symop_operation_xyz
'x,y,z'
loop_
_atom_site_label
_atom_site_type_symbol
_atom_site_fract_x
_atom_site_fract_y
_atom_site_fract_z
Co1 Co 0.000 0.000 0.000
Lu1 Lu 0.500 0.000 0.000
Lu2 Lu 0.000 0.500 0.000
Lu3 Lu 0.000 0.000 0.500
Pb1 Pb 0.500 0.500 0.500